First-principles (PBE) data for an optimized crystal structure of SrLa2As, as listed in Alexandria via LeMat-Bulk.

Lattice parameters (Å, degrees): 6.373 6.373 6.373 135.90 135.90 64.13
Positions (direct):
Sr  0.250  0.750  0.500
As  0.750  0.250  0.500
La  0.000  0.000  0.000
La  0.500  0.500  0.000

Size of the total moment   0.000 μB per formula unit
SG   I4/mmm
Crystal system   tetragonal
E   -0.32254 Ry per atom